No. 1
A relaxed structure of CaGeO. Source: Alexandria, functional GGA-PBE.

- D(E_F) (states/eV per cell) = 4.369
- total magnetization (μB per cell) = 0.00
- electronic total energy (eV for the cell shown) = -60.8
- raw formation energy (meV per atom) = -1207

Cell lengths 6.2314, 6.2314, 7.8982 Å; angles 90.00, 90.00, 127.64 degrees
Closest atoms and distances in Å follow each position.
Fractional positions:
Ca  0.1594  0.8406  0.8995  2 O 2.27
Ca  0.3406  0.6594  0.3995  2 O 2.27
Ca  0.6594  0.3406  0.6005  2 O 2.27
Ca  0.8406  0.1594  0.1005  2 O 2.27
Ge  0.0763  0.9237  0.3412  2 O 2.01
Ge  0.4237  0.5763  0.8412  2 O 2.01
Ge  0.5763  0.4237  0.1588  2 O 2.01
Ge  0.9237  0.0763  0.6588  2 O 2.01
O  0.2121  0.2879  0.2500  2 Ge 2.01
O  0.2879  0.2121  0.7500  2 Ge 2.01
O  0.7121  0.7879  0.2500  2 Ge 2.01
O  0.7879  0.7121  0.7500  2 Ge 2.01

=====

No. 2
A relaxed structure of Tl2POs. Source: Alexandria, functional GGA-PBE.

- D(E_F) (states/eV per cell) = 11.914
- total magnetization (μB per cell) = 2.07
- electronic total energy (eV for the cell shown) = -31.9
- E above lowest polymorph (kJ/mol of formula units) = 464
- ΔH_f (0 K) (eV/atom) = 1.36

Cell lengths 7.4895, 7.4895, 7.4895 Å; angles 130.63, 130.63, 72.40 degrees
Closest atoms and distances in Å follow each position.
Fractional positions:
Tl  0.1214  0.6250  0.9964  2 P 2.67, 2 Os 2.69
Tl  0.3750  0.3714  0.4964  2 P 2.67, 2 Os 2.69
Tl  0.6286  0.1250  0.0036  2 P 2.67, 2 Os 2.69
Tl  0.8750  0.8786  0.5036  2 P 2.67, 2 Os 2.69
P  0.0000  0.0000  0.0000  4 Tl 2.67
P  0.7500  0.2500  0.5000  4 Tl 2.67
Os  0.2500  0.7500  0.5000  4 Tl 2.69
Os  0.5000  0.5000  0.0000  4 Tl 2.69

=====

No. 3
A relaxed structure of Mn2BeTc. Source: Alexandria, functional GGA-PBE.

- D(E_F) (states/eV per cell) = 4.147
- total magnetization (μB per cell) = 0.00
- electronic total energy (eV for the cell shown) = -32.5
- ΔH_f (0 K) (eV/atom) = -0.02

Cell lengths 4.6910, 4.6910, 4.6910 Å; angles 144.64, 131.71, 61.26 degrees
Closest atoms and distances in Å follow each position.
Fractional positions:
Mn  0.2447  0.2447  0.0000  4 Mn 2.39, 2 Be 2.44, 2 Tc 2.51
Mn  0.7553  0.7553  0.0000  4 Mn 2.39, 2 Be 2.44, 2 Tc 2.51
Be  0.0000  0.5000  0.5000  4 Tc 2.39, 4 Mn 2.44
Tc  0.5000  0.0000  0.5000  4 Be 2.39, 4 Mn 2.51

=====

No. 4
A relaxed structure of SrBiRu2C. Source: Alexandria, functional GGA-PBE.

- D(E_F) (states/eV per cell) = 5.408
- total magnetization (μB per cell) = 4.72
- electronic total energy (eV for the cell shown) = -16.7
- ΔH_f (0 K) (eV/atom) = 3.33

Cell lengths 4.9252, 4.9252, 6.1394 Å; angles 90.00, 90.00, 90.00 degrees
Closest atoms and distances in Å follow each position.
Fractional positions:
Sr  0.0000  0.0000  0.0000  4 Ru 2.46
Bi  0.0000  0.0000  0.5000  2 Sr 3.07
Ru  0.0000  0.5000  0.0000  2 Sr 2.46
Ru  0.5000  0.0000  0.0000  2 Sr 2.46
C  0.5000  0.5000  0.5000  4 Bi 3.48

=====

No. 5
A relaxed structure of Te4Ir2Cl. Source: Alexandria, functional GGA-PBE.

- D(E_F) (states/eV per cell) = 7.299
- total magnetization (μB per cell) = 0.00
- electronic total energy (eV for the cell shown) = -67.2
- raw formation energy (meV per atom) = -212

Cell lengths 7.5135, 7.5135, 8.5482 Å; angles 115.77, 115.77, 90.00 degrees
Closest atoms and distances in Å follow each position.
Fractional positions:
Te  0.0422  0.0422  0.3463  3 Ir 2.68-2.72
Te  0.0418  0.5643  0.3457  3 Ir 2.67-2.73, 1 Cl 2.97
Te  0.0537  0.5530  0.8454  3 Ir 2.67-2.73, 1 Cl 2.95
Te  0.4357  0.9582  0.6543  3 Ir 2.67-2.73, 1 Cl 2.97
Te  0.4464  0.4682  0.1536  3 Ir 2.68-2.72
Te  0.4470  0.9463  0.1546  3 Ir 2.67-2.73, 1 Cl 2.95
Te  0.5318  0.5536  0.8464  3 Ir 2.68-2.72
Te  0.9578  0.9578  0.6537  3 Ir 2.68-2.72
Ir  0.2442  0.7552  0.2500  6 Te 2.67-2.73
Ir  0.2448  0.2558  0.7499  6 Te 2.67-2.72
Ir  0.2448  0.7558  0.7500  6 Te 2.67-2.73
Ir  0.7442  0.7552  0.2501  6 Te 2.67-2.72
Cl  0.6428  0.3572  0.5000  4 Te 2.95-3.16
Cl  0.8506  0.1494  0.0000  4 Te 2.97-3.14

=====

No. 6
A relaxed structure of Sb2TeAsO. Source: Alexandria, functional GGA-PBE.

- D(E_F) (states/eV per cell) = 2.829
- total magnetization (μB per cell) = 0.00
- electronic total energy (eV for the cell shown) = -19.9
- raw formation energy (meV per atom) = 223
- E above lowest polymorph (kJ/mol of formula units) = 0

Cell lengths 4.7300, 4.7300, 5.0104 Å; angles 90.00, 90.00, 90.00 degrees
Closest atoms and distances in Å follow each position.
Fractional positions:
Sb  0.0000  0.5000  0.0000  2 O 2.36
Sb  0.5000  0.0000  0.0000  2 O 2.36
Te  0.0000  0.0000  0.5000  2 O 2.51
As  0.5000  0.5000  0.5000  4 Te 3.34, 8 Sb 3.45
O  0.0000  0.0000  0.0000  4 Sb 2.36, 2 Te 2.51

=====

No. 7
A relaxed structure of CeNdPuSc. Source: Alexandria, functional GGA-PBE.

- D(E_F) (states/eV per cell) = 9.823
- total magnetization (μB per cell) = 8.16
- electronic total energy (eV for the cell shown) = -30.6
- ΔH_f (0 K) (eV/atom) = 0.19

Cell lengths 5.4636, 5.4636, 5.4636 Å; angles 60.00, 60.00, 60.00 degrees
Closest atoms and distances in Å follow each position.
Fractional positions:
Ce  0.0000  0.0000  0.0000  4 Sc 3.35, 4 Pu 3.35
Nd  0.5000  0.5000  0.5000  4 Sc 3.35, 4 Pu 3.35
Pu  0.2500  0.2500  0.2500  4 Nd 3.35, 4 Ce 3.35
Sc  0.7500  0.7500  0.7500  4 Ce 3.35, 4 Nd 3.35

=====

No. 8
A relaxed structure of LaCeNiIr. Source: Alexandria, functional GGA-PBE.

- D(E_F) (states/eV per cell) = 7.277
- total magnetization (μB per cell) = 0.73
- electronic total energy (eV for the cell shown) = -27.3
- ΔH_f (0 K) (eV/atom) = -0.44

Cell lengths 4.9786, 4.9786, 4.9786 Å; angles 60.00, 60.00, 60.00 degrees
Closest atoms and distances in Å follow each position.
Fractional positions:
La  0.0000  0.0000  0.0000  4 Ni 3.05, 4 Ir 3.05
Ce  0.5000  0.5000  0.5000  4 Ni 3.05, 4 Ir 3.05
Ni  0.2500  0.2500  0.2500  4 La 3.05, 4 Ce 3.05
Ir  0.7500  0.7500  0.7500  4 La 3.05, 4 Ce 3.05

=====

No. 9
A relaxed structure of Er4RuPt. Source: Alexandria, functional GGA-PBE.

- D(E_F) (states/eV per cell) = 6.707
- total magnetization (μB per cell) = 0.00
- electronic total energy (eV for the cell shown) = -74.4
- E above lowest polymorph (kJ/mol of formula units) = 45
- ΔH_f (0 K) (eV/atom) = -0.61

Cell lengths 6.8305, 6.8022, 6.7942 Å; angles 90.00, 91.31, 90.00 degrees
Closest atoms and distances in Å follow each position.
Fractional positions:
Er  0.1608  0.1663  0.1728  2 Ru 2.75-2.77, 1 Pt 2.86
Er  0.1608  0.3337  0.6728  2 Ru 2.75-2.77, 1 Pt 2.86
Er  0.3270  0.6650  0.1589  1 Ru 2.70, 2 Pt 2.79-2.81
Er  0.3270  0.8350  0.6589  1 Ru 2.70, 2 Pt 2.79-2.81
Er  0.6730  0.1650  0.3411  1 Ru 2.70, 2 Pt 2.79-2.81
Er  0.6730  0.3350  0.8411  1 Ru 2.70, 2 Pt 2.79-2.81
Er  0.8392  0.6663  0.3272  2 Ru 2.75-2.77, 1 Pt 2.86
Er  0.8392  0.8337  0.8272  2 Ru 2.75-2.77, 1 Pt 2.86
Ru  0.0000  0.0000  0.5000  6 Er 2.70-2.77
Ru  0.0000  0.5000  0.0000  6 Er 2.70-2.77
Pt  0.5000  0.0000  0.0000  6 Er 2.79-2.86
Pt  0.5000  0.5000  0.5000  6 Er 2.79-2.86

=====

No. 10
A relaxed structure of CeScGaIr. Source: Alexandria, functional GGA-PBE.

- D(E_F) (states/eV per cell) = 5.154
- total magnetization (μB per cell) = 0.11
- electronic total energy (eV for the cell shown) = -26.5
- ΔH_f (0 K) (eV/atom) = -0.58

Cell lengths 4.8738, 4.8738, 4.8738 Å; angles 60.00, 60.00, 60.00 degrees
Closest atoms and distances in Å follow each position.
Fractional positions:
Ce  0.0000  0.0000  0.0000  4 Ga 2.98, 4 Ir 2.98
Sc  0.5000  0.5000  0.5000  4 Ga 2.98, 4 Ir 2.98
Ga  0.7500  0.7500  0.7500  4 Ce 2.98, 4 Sc 2.98
Ir  0.2500  0.2500  0.2500  4 Ce 2.98, 4 Sc 2.98

=====

No. 11
A relaxed structure of PmTmHgIr. Source: Alexandria, functional GGA-PBE.

- D(E_F) (states/eV per cell) = 2.490
- total magnetization (μB per cell) = 0.00
- electronic total energy (eV for the cell shown) = -20.7
- ΔH_f (0 K) (eV/atom) = -0.58

Cell lengths 5.0732, 5.0732, 5.0732 Å; angles 60.00, 60.00, 60.00 degrees
Closest atoms and distances in Å follow each position.
Fractional positions:
Pm  0.0000  0.0000  0.0000  4 Hg 3.11, 4 Ir 3.11
Tm  0.5000  0.5000  0.5000  4 Hg 3.11, 4 Ir 3.11
Hg  0.7500  0.7500  0.7500  4 Pm 3.11, 4 Tm 3.11
Ir  0.2500  0.2500  0.2500  4 Tm 3.11, 4 Pm 3.11

=====

No. 12
A relaxed structure of Sc2AgSb. Source: Alexandria, functional GGA-PBE.

- D(E_F) (states/eV per cell) = 3.975
- total magnetization (μB per cell) = 0.48
- electronic total energy (eV for the cell shown) = -20.5
- raw formation energy (meV per atom) = -204

Cell lengths 3.3820, 3.3820, 8.0368 Å; angles 90.00, 90.00, 90.00 degrees
Closest atoms and distances in Å follow each position.
Fractional positions:
Sc  0.0000  0.0000  0.0000  4 Sb 3.19, 8 Sc 3.26-3.38
Sc  0.5000  0.5000  0.2757  4 Ag 2.92, 4 Sc 3.26
Ag  0.0000  0.0000  0.4848  4 Sc 2.92, 4 Sb 3.14
Sb  0.5000  0.5000  0.7381  4 Ag 3.14, 4 Sc 3.19, 4 Sb 3.38

=====

What is the electronic total energy in the fourth record? -16.7 eV for the cell shown

=====

Look up the D(E_F) of the ninth one. 6.707 states/eV per cell